! KCuIr3 (PBEsol, relaxed); values from VASP
&SYSTEM
  ibrav = 0, nat = 5, ntyp = 3
/
ATOMIC_SPECIES
K 39.10 K.upf
Cu 63.55 Cu.upf
Ir 192.22 Ir.upf
CELL_PARAMETERS angstrom
4.560 0.000 0.000
0.000 4.560 0.000
0.000 0.000 4.560
ATOMIC_POSITIONS crystal
K 0.000 0.000 0.000
Cu 0.500 0.500 0.500
Ir 0.000 0.000 0.500
Ir 0.000 0.500 0.000
Ir 0.500 0.000 0.000
! Density of states at the Fermi level   10.50 states/eV/cell
! Symmetry   Pm-3m, No. 221
! Formation enthalpy at 0 K   3.43 eV/atom
! Theoretical density   11.89 g/cm3